## CePu5Ge3 (PBE)

Data for a relaxed CePu5Ge3 crystal.

a = 8.214 Å, b = 8.214 Å, c = 8.462 Å
α = 119.04°, β = 119.04°, γ = 90.00°
Each line ends with the local moment (μB).
Fractional coordinates of all 18 atoms:
Ce1 0.750 0.250 0.500  -0.88
Ce2 0.250 0.750 0.500  -0.88
Pu1 0.441 0.343 0.284  -5.21
Pu2 0.941 0.441 0.284  -5.21
Pu3 0.059 0.559 0.716  -5.21
Pu4 0.343 0.843 0.284  -5.21
Pu5 0.157 0.059 0.716  -5.21
Pu6 0.657 0.157 0.716  -5.21
Pu7 0.000 0.000 0.000  5.08
Pu8 0.500 0.500 0.000  5.08
Pu9 0.843 0.941 0.284  -5.21
Pu10 0.559 0.657 0.716  -5.21
Ge1 0.250 0.250 0.500  0.03
Ge2 0.107 0.393 0.000  0.02
Ge3 0.893 0.607 0.000  0.02
Ge4 0.607 0.107 0.000  0.02
Ge5 0.750 0.750 0.500  0.03
Ge6 0.393 0.893 0.000  0.02

Values from the calculation:
The value obtained for the calculated formation energy is -0.196 eV per atom. The excess energy over the best structure of this formula in the dataset comes out at 201 meV per atom. Its symmetry is I4/mcm, No. 140.